Compound: Li2VCd
Source: Alexandria
Functional: PBE
Structure: relaxed

Output
ΔE_f: 333 meV/atom
Final energy: -12.53 eV for the cell shown

Cell: 2.759 2.759 10.469 Å, 82.43 82.43 60.00°
Fractional positions:
V 0.000 0.000 0.000
Li 0.083 0.083 0.750
Li 0.917 0.917 0.250
Cd 0.500 0.500 0.500

Compound: LiV3Cd
Source: Alexandria
Functional: PBE
Structure: relaxed

Output
Offset from the most stable computed form: 54.59 kJ per mole of atoms
ΔE_f: 1697 meV/atom
Final energy: -21.70 eV for the cell shown

Cell: 5.128 5.128 5.128 Å, 90.00 90.00 90.00°
Site moments in Bohr magnetons follow the coordinates.
Fractional positions:
Cd 0.000 0.000 0.000  0.11
Li 0.500 0.500 0.500  0.03
V 0.000 0.500 0.000  2.74
V 0.000 0.000 0.500  2.74
V 0.500 0.000 0.000  2.74

Compound: Li2VCd
Source: Alexandria
Functional: PBE
Structure: relaxed

Output
ΔE_f: 492 meV/atom
Final energy: -23.79 eV for the cell shown

Cell: 7.320 7.320 5.897 Å, 51.64 51.64 90.00°
Site moments in Bohr magnetons follow the coordinates.
Fractional positions:
Cd 0.000 0.000 0.000  0.03
Cd 0.750 0.250 0.500  0.03
Li 0.634 0.125 0.250  0.04
Li 0.116 0.625 0.250  0.04
Li 0.375 0.366 0.750  0.04
Li 0.875 0.884 0.750  0.04
V 0.500 0.500 0.000  2.88
V 0.250 0.750 0.500  2.88

Compound: LiVCd2
Source: Alexandria
Functional: PBE
Structure: relaxed

Output
Offset from the most stable computed form: 18.36 kJ per mole of atoms
ΔE_f: 382 meV/atom
Final energy: -11.33 eV for the cell shown

Cell: 2.871 2.871 10.690 Å, 82.28 82.28 60.00°
Site moments in Bohr magnetons follow the coordinates.
Fractional positions:
V 0.000 0.000 0.000  1.16
Li 0.500 0.500 0.500  -0.02
Cd 0.090 0.090 0.731  0.01
Cd 0.910 0.910 0.269  0.01

Compound: LiVCd2
Source: Alexandria
Functional: PBE
Structure: relaxed

Output
Offset from the most stable computed form: 0.00 kJ per mole of atoms
ΔE_f: 192 meV/atom
Final energy: -12.09 eV for the cell shown

Cell: 4.723 4.723 4.723 Å, 60.00 60.00 60.00°
Site moments in Bohr magnetons follow the coordinates.
Fractional positions:
Cd 0.250 0.250 0.250  0.02
Cd 0.750 0.750 0.750  0.02
Li 0.000 0.000 0.000  -0.01
V 0.500 0.500 0.500  2.58

Compound: LiV3Cd
Source: Alexandria
Functional: PBE
Structure: relaxed

Output
Offset from the most stable computed form: 0.00 kJ per mole of atoms
ΔE_f: 1131 meV/atom
Final energy: -24.53 eV for the cell shown

Cell: 4.232 4.232 4.232 Å, 90.00 90.00 90.00°
Site moments in Bohr magnetons follow the coordinates.
Fractional positions:
Cd 0.500 0.500 0.500  -0.01
Li 0.000 0.000 0.000  0.02
V 0.000 0.500 0.000  0.42
V 0.000 0.000 0.500  0.42
V 0.500 0.000 0.000  0.42

Compound: LiVCd2
Source: Alexandria
Functional: PBE
Structure: relaxed

Output
Offset from the most stable computed form: 23.24 kJ per mole of atoms
ΔE_f: 433 meV/atom
Final energy: -22.26 eV for the cell shown

Cell: 7.433 7.433 6.007 Å, 51.78 51.78 90.00°
Site moments in Bohr magnetons follow the coordinates.
Fractional positions:
Cd 0.604 0.125 0.250  0.01
Cd 0.146 0.625 0.250  0.01
Cd 0.375 0.396 0.750  0.01
Cd 0.875 0.854 0.750  0.01
Li 0.500 0.500 0.000  0.02
Li 0.250 0.750 0.500  0.02
V 0.000 0.000 0.000  2.73
V 0.750 0.250 0.500  2.73

Compound: Li2CdW
Source: Alexandria
Functional: PBE
Structure: relaxed

Output
Offset from the most stable computed form: 23.16 kJ per mole of atoms
ΔE_f: 470 meV/atom
Final energy: -15.82 eV for the cell shown

Cell: 2.595 4.644 5.715 Å, 90.00 90.00 90.00°
Fractional positions:
Cd 0.500 0.500 0.736
Li 0.000 0.000 0.006
Li 0.500 0.500 0.255
W 0.000 0.000 0.502